No. 1
# Pm2NdHo8

A relaxed Pm2NdHo8 crystal (GGA-PBE, Alexandria).

Lattice parameters (Å, degrees): 5.5071 8.0986 9.4002 115.52 107.02 90.00
Last column: nearest neighbours and their distance in Å.
Sites, in units of the cell vectors:
Pm  0.2001  0.7000  0.4000  10 Ho 3.37-3.62
Pm  0.7999  0.3000  0.6000  10 Ho 3.37-3.62
Nd  0.5000  0.0000  0.0000  8 Ho 3.25-3.64
Ho  0.6389  0.8461  0.2775  1 Nd 3.25, 4 Ho 3.36-3.62, 3 Pm 3.37-3.51
Ho  0.3611  0.5686  0.7225  1 Nd 3.25, 4 Ho 3.36-3.62, 3 Pm 3.37-3.51
Ho  0.1614  0.1614  0.3228  8 Ho 3.52-3.65, 2 Pm 3.54, 2 Nd 3.78
Ho  0.0000  0.2938  0.0000  7 Ho 3.34-3.54, 2 Pm 3.62, 2 Nd 3.64
Ho  0.8386  0.8386  0.6772  8 Ho 3.52-3.65, 2 Pm 3.54, 2 Nd 3.78
Ho  0.6389  0.4314  0.2775  1 Nd 3.25, 4 Ho 3.36-3.62, 3 Pm 3.37-3.51
Ho  0.3611  0.1539  0.7225  1 Nd 3.25, 4 Ho 3.36-3.62, 3 Pm 3.37-3.51
Ho  0.0000  0.7062  0.0000  7 Ho 3.34-3.54, 2 Pm 3.62, 2 Nd 3.64

Summary:
magnetization = 0.000 μB per formula unit
calculated total energy = -49.64 eV for the cell shown
volume = 32.54 A^3/atom
energy above the most stable polymorph in this dataset = 0 meV per atom
formation energy = 1.247 eV per formula unit

=====

No. 2
# Er5Fe2Pb

A relaxed Er5Fe2Pb crystal (GGA-PBE, Alexandria).

Lattice parameters (Å, degrees): 7.2723 7.2723 9.1038 113.54 113.54 90.00
Last column: nearest neighbours and their distance in Å.
Sites, in units of the cell vectors:
Er  0.5505  0.6943  0.7448  3 Fe 2.87-2.92
Er  0.8057  0.9495  0.2552  3 Fe 2.87-2.92
Er  0.0000  0.0000  0.0000  4 Fe 2.96, 8 Er 3.29
Er  0.5000  0.5000  0.0000  4 Fe 2.96, 8 Er 3.29
Er  0.1943  0.0505  0.7448  3 Fe 2.87-2.92
Er  0.6943  0.1943  0.7448  3 Fe 2.87-2.92
Er  0.0505  0.5505  0.7448  3 Fe 2.87-2.92
Er  0.3057  0.8057  0.2552  3 Fe 2.87-2.92
Er  0.9495  0.4495  0.2552  3 Fe 2.87-2.92
Er  0.4495  0.3057  0.2552  3 Fe 2.87-2.92
Fe  0.1072  0.3928  0.0000  1 Fe 2.21
Fe  0.6072  0.1072  0.0000  1 Fe 2.21
Fe  0.3928  0.8928  0.0000  1 Fe 2.21
Fe  0.8928  0.6072  0.0000  1 Fe 2.21
Pb  0.7500  0.7500  0.5000  8 Er 3.25
Pb  0.2500  0.2500  0.5000  8 Er 3.25

Summary:
magnetization = 0.001 μB per formula unit
calculated total energy = -89.85 eV for the cell shown
volume = 24.83 A^3/atom
formation energy = -1.475 eV per formula unit

=====

No. 3
# PmNdSiI

A relaxed PmNdSiI crystal (GGA-PBE, Alexandria).

Lattice parameters (Å, degrees): 4.2725 4.2728 8.2321 90.00 105.04 120.00
Last column: nearest neighbours and their distance in Å.
Sites, in units of the cell vectors:
Pm  0.5052  0.1505  0.6710  3 Si 2.92
Nd  0.1007  0.9483  0.0644  3 Si 2.91
Si  0.3037  0.5497  0.8688  3 Nd 2.91, 3 Pm 2.92
I  0.9682  0.3823  0.3654  3 Nd 3.42, 3 Pm 3.44

Summary:
magnetization = 0.000 μB per formula unit
calculated total energy = -20.20 eV for the cell shown
E_form (uncorrected) = -927 meV/atom
volume = 31.04 A^3/atom

=====

No. 4
# Ba2CdSe3

A relaxed Ba2CdSe3 crystal (GGA-PBE, Alexandria).

Lattice parameters (Å, degrees): 4.5565 9.4032 18.1683 90.00 90.00 90.00
Last column: nearest neighbours and their distance in Å.
Sites, in units of the cell vectors:
Ba  0.2500  0.7604  0.9604  7 Se 3.26-3.57
Ba  0.7500  0.7396  0.4604  7 Se 3.26-3.57
Ba  0.2500  0.2604  0.5396  7 Se 3.26-3.57
Ba  0.7500  0.2396  0.0396  7 Se 3.26-3.57
Ba  0.2500  0.4221  0.2845  7 Se 3.37-3.48
Ba  0.7500  0.5779  0.7155  7 Se 3.37-3.48
Ba  0.2500  0.9221  0.2155  7 Se 3.37-3.48
Ba  0.7500  0.0779  0.7845  7 Se 3.37-3.48
Cd  0.7500  0.1245  0.3668  4 Se 2.67-2.72
Cd  0.7500  0.6245  0.1332  4 Se 2.67-2.72
Cd  0.2500  0.8755  0.6332  4 Se 2.67-2.72
Cd  0.2500  0.3755  0.8668  4 Se 2.67-2.72
Se  0.2500  0.9849  0.4041  2 Cd 2.72
Se  0.7500  0.0151  0.5959  2 Cd 2.72
Se  0.2500  0.4849  0.0959  2 Cd 2.72
Se  0.7500  0.5151  0.9041  2 Cd 2.72
Se  0.2500  0.1178  0.9279  1 Cd 2.67
Se  0.7500  0.8822  0.0721  1 Cd 2.67
Se  0.2500  0.6178  0.5721  1 Cd 2.67
Se  0.7500  0.1857  0.2228  1 Cd 2.68
Se  0.2500  0.3143  0.7228  1 Cd 2.68
Se  0.7500  0.6857  0.2772  1 Cd 2.68
Se  0.2500  0.8143  0.7772  1 Cd 2.68
Se  0.7500  0.3822  0.4279  1 Cd 2.67

Summary:
magnetization = 0.000 μB per formula unit
calculated total energy = -98.70 eV for the cell shown
E_form (uncorrected) = -1577 meV/atom
volume = 32.43 A^3/atom